1.
Material: BaNaTbSe3
Method: DFT, GGA-PBE
State: optimized geometry

POSCAR file:
```
BaNaTbSe3
1.0
-3.2755 -0.4112 -2.8893
-4.7104 -4.5401 5.9862
-2.2581 9.2626 1.2418
Ba Na Tb Se
2 2 2 6
direct
0.2500 0.2150 0.2444 Ba
0.7500 0.7850 0.7556 Ba
0.2500 0.0905 0.5865 Na
0.7500 0.9095 0.4135 Na
0.2500 0.6748 0.1546 Tb
0.7500 0.3252 0.8454 Tb
0.7500 0.8878 0.1241 Se
0.2500 0.1122 0.8759 Se
0.2500 0.7491 0.4733 Se
0.7500 0.2509 0.5267 Se
0.7500 0.4549 0.1557 Se
0.2500 0.5451 0.8443 Se
```

---

2.
PrHoTh, optimized geometry, DFT GGA-PBE; relative energy among the computed polymorphs = 16.0 kJ per mole of atoms; ΔH_f (0 K) = 193.1 meV per atom; N(E_F) = 3.844 states/eV/f.u.
1.0
4.9730 0.0000 0.0000
0.0000 4.9730 0.0000
0.0000 0.0000 8.5679
Th Ho Pr
2 2 2
direct
0.0000 0.0000 0.0000 Th
0.5000 0.5000 0.0000 Th
0.0000 0.5000 0.7137 Ho
0.5000 0.0000 0.2863 Ho
0.0000 0.5000 0.2942 Pr
0.5000 0.0000 0.7058 Pr

---

3.
Mg2CuNiOs, optimized geometry, DFT GGA-PBE; ΔH_f (0 K) = 1008.4 meV per atom; N(E_F) = 3.257 states/eV/f.u.
1.0
-2.9670 0.0877 -3.9605
-0.6988 -4.3847 0.4265
-3.8849 0.9042 2.9303
Ni Mg Os Cu
1 2 1 1
direct
0.0000 0.5000 0.0000 Ni
0.0000 0.0000 0.5000 Mg
0.5000 0.0000 0.0000 Mg
0.0000 0.0000 0.0000 Os
0.5000 0.5000 0.5000 Cu

---

4.
Ti6TcPb2, optimized geometry, DFT GGA-PBE; ΔH_f (0 K) = -91.5 meV per atom; N(E_F) = 10.825 states/eV/f.u.
1.0
-1.5309 -2.1639 1.8718
-0.9826 -4.6200 -6.1445
6.3916 -0.7138 4.4022
Ti Tc Pb
6 1 2
direct
0.5000 0.6364 0.0000 Ti
0.5000 0.3648 0.3655 Ti
0.5000 0.9993 0.6345 Ti
0.0000 0.2502 0.0000 Ti
0.0000 0.7488 0.7458 Ti
0.0000 0.0030 0.2542 Ti
0.5000 0.9968 0.0000 Tc
0.0000 0.3343 0.6681 Pb
0.0000 0.6663 0.3319 Pb

---

5.
Ho2Zn3Pd, optimized geometry, DFT GGA-PBE; ΔH_f (0 K) = -535.3 meV per atom; N(E_F) = 4.627 states/eV/f.u.
1.0
-1.5376 2.1975 2.3005
-3.9732 -1.6499 -1.0795
0.6980 -5.2948 5.5241
Ho Zn Pd
2 3 1
direct
0.0000 0.5000 0.0171 Ho
0.0000 0.0000 0.4844 Ho
0.5000 0.0000 0.8293 Zn
0.5000 0.0000 0.1576 Zn
0.5000 0.5000 0.6757 Zn
0.5000 0.5000 0.3359 Pd

---

6.
DyHoRuPt, optimized geometry, DFT GGA-PBE; relative energy among the computed polymorphs = 0.0 kJ per mole of atoms; ΔH_f (0 K) = -849.2 meV per atom; N(E_F) = 1.438 states/eV/f.u.
1.0
3.4638 0.0000 0.0000
0.0000 3.4638 0.0000
0.0000 0.0000 6.7601
Dy Ho Ru Pt
1 1 1 1
direct
0.5000 0.5000 0.1124 Dy
0.5000 0.5000 0.6019 Ho
0.0000 0.0000 0.3583 Ru
0.0000 0.0000 0.8554 Pt

---

7.
Li2AcMg4Cd, optimized geometry, DFT GGA-PBE; ΔH_f (0 K) = -38.9 meV per atom; N(E_F) = 5.840 states/eV/f.u.
1.0
4.8675 0.0000 0.0000
2.4337 4.2154 0.0000
2.4337 1.4051 9.9726
Li Ac Mg Cd
2 1 4 1
direct
0.7640 0.7640 0.7079 Li
0.2360 0.2360 0.2921 Li
0.0000 0.0000 0.0000 Ac
0.4040 0.4040 0.7880 Mg
0.8701 0.8701 0.3898 Mg
0.1299 0.1299 0.6102 Mg
0.5960 0.5960 0.2120 Mg
0.5000 0.5000 0.5000 Cd

---

8.
Sm2MgH12Rh3, optimized geometry, DFT GGA-PBE; N(E_F) = 5.412 states/eV/f.u.
1.0
5.9003 -0.2544 -0.1805
2.6926 5.2562 -0.1805
2.6926 1.5673 5.0203
Sm Mg H Rh
2 1 12 3
direct
0.6174 0.6174 0.6174 Sm
0.3826 0.3826 0.3826 Sm
0.0000 0.0000 0.0000 Mg
0.3160 0.3160 0.8624 H
0.8750 0.8750 0.3886 H
0.3886 0.8750 0.8750 H
0.8624 0.3160 0.3160 H
0.8750 0.3886 0.8750 H
0.3160 0.8624 0.3160 H
0.6840 0.6840 0.1376 H
0.1250 0.1250 0.6114 H
0.6114 0.1250 0.1250 H
0.1376 0.6840 0.6840 H
0.1250 0.6114 0.1250 H
0.6840 0.1376 0.6840 H
0.5000 0.0000 0.0000 Rh
0.0000 0.5000 0.0000 Rh
0.0000 0.0000 0.5000 Rh

---

no.,V (Å³ per atom),total DFT energy (no corrections) (eV per atom)
1,29.9,-4.74
2,35.3,-5.40
3,21.9,-3.85
4,18.9,-7.33
5,20.1,-3.56
6,20.3,-6.97
7,25.6,-1.94
8,9.0,-4.39